1.
A relaxed structure of ThAlGe. Source: OQMD via LeMat-Bulk, functional GGA-PBE.

Values from the calculation:
The calculation puts the total magnetization at 0.0 μB per formula unit. As for the total energy: -15.7 eV for the cell shown. Its space group is F-43m.

a = 4.720 Å, b = 4.720 Å, c = 4.720 Å
α = 60.00°, β = 60.00°, γ = 60.00°
Sites, in units of the cell vectors:
Al  0.000  0.000  0.000
Ge  0.250  0.250  0.250
Th  0.750  0.750  0.750

2.
A relaxed structure of ThAlGe. Source: OQMD via LeMat-Bulk, functional GGA-PBE.

Values from the calculation:
The calculation puts the total magnetization at 0.0 μB per formula unit. As for the total energy: -15.3 eV for the cell shown. Its space group is F-43m.

a = 4.937 Å, b = 4.937 Å, c = 4.937 Å
α = 60.00°, β = 60.00°, γ = 60.00°
Sites, in units of the cell vectors:
Al  0.750  0.750  0.750
Ge  0.250  0.250  0.250
Th  0.000  0.000  0.000